VASP calculation (PBE+U) on a geometry-optimized Ge2PbWO8 structure.

Values from the calculation:
The density of states at the Fermi level is 0.00 states/eV per cell. The total energy comes out at -6.455 eV/atom. As for the space group: R32 (155). As for the total magnetization: 0.00 μB/cell.

The structure in POSCAR format:
```
Ge2PbWO8
1.0
2.418 1.396 8.591
-2.418 1.396 8.591
0.000 -2.792 8.591
Ge Pb W O
2 1 1 8
direct
0.241 0.241 0.241
0.759 0.759 0.759
0.000 0.000 0.000
0.500 0.500 0.500
0.140 0.455 0.759
0.241 0.545 0.860
0.307 0.307 0.307
0.455 0.759 0.140
0.545 0.860 0.241
0.693 0.693 0.693
0.759 0.140 0.455
0.860 0.241 0.545
```